Record 1
Material: NaCd2Pb6
Method: DFT, PBE-GGA
State: optimized geometry Values from VASP.

```
&SYSTEM
  ibrav = 0, nat = 9, ntyp = 3
/
ATOMIC_SPECIES
Cd 112.41 Cd.upf
Na 22.99 Na.upf
Pb 207.20 Pb.upf
ATOMIC_POSITIONS crystal
Cd 0.329 0.601 0.741
Cd 0.671 0.399 0.259
Na 0.000 0.500 0.500
Pb 0.011 0.149 0.829
Pb 0.989 0.851 0.171
Pb 0.669 0.729 0.933
Pb 0.656 0.093 0.596
Pb 0.331 0.271 0.067
Pb 0.344 0.907 0.404
CELL_PARAMETERS angstrom
-3.670 -3.124 -3.132
2.592 -3.609 -4.713
-1.113 -7.626 3.635
```

## Properties
spin magnetization	0.0	μB per cell
D(E_F)	0.48	states/eV per atom

---

Record 2
Material: TaFePb3
Method: DFT, PBE-GGA
State: optimized geometry Values from VASP.

```
&SYSTEM
  ibrav = 0, nat = 5, ntyp = 3
/
ATOMIC_SPECIES
Pb 207.20 Pb.upf
Fe 55.84 Fe.upf
Ta 180.95 Ta.upf
ATOMIC_POSITIONS crystal
Pb 0.000 0.500 0.000
Fe 0.500 0.500 0.500
Pb 0.000 0.000 0.500
Pb 0.500 0.000 0.000
Ta 0.000 0.000 0.000
CELL_PARAMETERS angstrom
5.499 0.000 0.000
0.000 5.499 0.000
0.000 0.000 5.499
```

## Properties
spin magnetization	4.2	μB per cell
D(E_F)	2.04	states/eV per atom

---

Record 3
Material: MnPdPbAu
Method: DFT, PBE-GGA
State: optimized geometry Values from VASP.

```
&SYSTEM
  ibrav = 0, nat = 4, ntyp = 4
/
ATOMIC_SPECIES
Pd 106.42 Pd.upf
Pb 207.20 Pb.upf
Mn 54.94 Mn.upf
Au 196.97 Au.upf
ATOMIC_POSITIONS crystal
Pd 0.000 0.000 0.000
Pb 0.750 0.750 0.750
Mn 0.250 0.250 0.250
Au 0.500 0.500 0.500
CELL_PARAMETERS angstrom
4.750 0.000 0.000
2.375 4.114 0.000
2.375 1.371 3.879
```

## Properties
spin magnetization	4.5	μB per cell
D(E_F)	0.34	states/eV per atom

---

Record 4
Material: Ac3Tl2Ir
Method: DFT, PBE-GGA
State: optimized geometry Values from VASP.

```
&SYSTEM
  ibrav = 0, nat = 12, ntyp = 3
/
ATOMIC_SPECIES
Tl 204.38 Tl.upf
Ac 227.00 Ac.upf
Ir 192.22 Ir.upf
ATOMIC_POSITIONS crystal
Tl 0.302 0.250 0.604
Ac 0.501 0.250 0.000
Tl 0.698 0.250 0.396
Ac 0.873 0.000 0.746
Ac 0.499 0.750 0.000
Ir 0.001 0.250 0.000
Tl 0.698 0.750 0.396
Ir 0.999 0.750 0.000
Tl 0.302 0.750 0.604
Ac 0.873 0.500 0.746
Ac 0.127 0.500 0.254
Ac 0.127 0.000 0.254
CELL_PARAMETERS angstrom
-0.962 1.533 5.524
-4.962 -6.570 0.960
7.318 -5.565 -0.239
```

## Properties
spin magnetization	0.0	μB per cell
D(E_F)	0.86	states/eV per atom

---

Record 5
Material: GaCuPb2
Method: DFT, PBE-GGA
State: optimized geometry Values from VASP.

```
&SYSTEM
  ibrav = 0, nat = 4, ntyp = 3
/
ATOMIC_SPECIES
Pb 207.20 Pb.upf
Cu 63.55 Cu.upf
Ga 69.72 Ga.upf
ATOMIC_POSITIONS crystal
Pb 0.915 0.915 0.256
Cu 0.000 0.000 0.000
Ga 0.500 0.500 0.500
Pb 0.085 0.085 0.744
CELL_PARAMETERS angstrom
3.369 0.000 0.000
1.684 2.917 0.000
1.684 0.972 10.448
```

## Properties
spin magnetization	0.0	μB per cell
D(E_F)	0.45	states/eV per atom

---

Record 6
Material: ZnIrRh3
Method: DFT, PBE-GGA
State: optimized geometry Values from VASP.

```
&SYSTEM
  ibrav = 0, nat = 10, ntyp = 3
/
ATOMIC_SPECIES
Ir 192.22 Ir.upf
Zn 65.41 Zn.upf
Rh 102.91 Rh.upf
ATOMIC_POSITIONS crystal
Ir 0.749 0.442 0.973
Zn 0.163 0.375 0.526
Ir 0.766 0.775 0.123
Rh 0.557 0.638 0.764
Rh 0.361 0.181 0.731
Rh 0.556 0.976 0.933
Zn 0.352 0.843 0.570
Rh 0.154 0.037 0.365
Rh 0.959 0.580 0.332
Rh 0.959 0.242 0.163
CELL_PARAMETERS angstrom
-0.465 -0.405 -2.676
-4.763 -6.113 3.161
-4.354 4.789 -2.784
```

## Properties
spin magnetization	0.0	μB per cell
D(E_F)	1.22	states/eV per atom

---

| no. | DFT formation energy (meV/atom) |
| --- | --- |
| 1 | -0.4 |
| 2 | 1143.3 |
| 3 | -13.6 |
| 4 | -445.1 |
| 5 | 360.3 |
| 6 | -91.9 |